1.
A geometry-optimized Ho12ErSc3 structure. Source: the Alexandria database, functional PBE.

Cell and atoms, written as POSCAR:
```
Ho12ErSc3
1.0
4.917 0.000 0.000
0.000 4.917 0.000
0.000 0.000 19.623
Ho Er Sc
12 1 3
Direct
0.500 0.500 0.748
0.500 0.000 0.376
0.500 0.500 0.000
0.500 0.000 0.872
0.000 0.500 0.624
0.500 0.000 0.624
0.500 0.500 0.252
0.000 0.500 0.128
0.000 0.500 0.376
0.000 0.500 0.872
0.500 0.000 0.128
0.500 0.500 0.500
0.000 0.000 0.000
0.000 0.000 0.748
0.000 0.000 0.252
0.000 0.000 0.500
```

D(E_F): 23.5 states/eV/cell
spin magnetization: 0.000 μB/atom
energy relative to the elements: 0.037 eV per atom
space group: P4/mmm, No. 123


2.
A geometry-optimized MgSn4Pd7 structure. Source: the Alexandria database, functional PBE.

Cell and atoms, written as POSCAR:
```
MgSn4Pd7
1.0
-4.029 -2.352 -1.289
-2.836 -4.020 7.113
-5.132 3.286 0.959
Sn Pd Mg
4 7 1
Direct
0.737 0.668 0.858
0.263 0.332 0.142
0.412 0.778 0.399
0.588 0.222 0.601
0.077 0.681 0.166
0.923 0.319 0.834
0.364 0.532 0.740
0.213 0.097 0.476
0.500 0.000 0.000
0.787 0.903 0.524
0.636 0.468 0.260
0.000 0.000 0.000
```

D(E_F): 3.3 states/eV/cell
spin magnetization: 0.000 μB/atom
energy relative to the elements: -0.427 eV per atom
space group: C2/m, No. 12


3.
A geometry-optimized Ta6HN structure. Source: the Alexandria database, functional PBE.

Cell and atoms, written as POSCAR:
```
Ta6HN
1.0
5.172 0.000 0.000
-2.586 4.479 0.000
0.000 0.000 10.229
Ta N H
12 2 2
Direct
0.333 0.997 0.625
0.667 0.003 0.375
0.997 0.333 0.125
0.664 0.997 0.875
0.997 0.664 0.375
0.003 0.336 0.625
0.003 0.667 0.875
0.333 0.336 0.875
0.664 0.667 0.625
0.336 0.003 0.125
0.336 0.333 0.375
0.667 0.664 0.125
0.000 0.000 0.000
0.000 0.000 0.500
0.333 0.667 0.250
0.667 0.333 0.750
```

D(E_F): 12.1 states/eV/cell
spin magnetization: 0.000 μB/atom
space group: P-31c, No. 163


4.
A geometry-optimized Re3SbC structure. Source: the Alexandria database, functional PBE.

Cell and atoms, written as POSCAR:
```
Re3SbC
1.0
-1.332 2.232 3.262
-3.372 -2.438 0.292
2.063 -2.544 2.583
C Re Sb
1 3 1
Direct
0.000 0.000 0.000
0.000 0.000 0.500
0.500 0.000 0.000
0.000 0.500 0.000
0.500 0.500 0.500
```

D(E_F): 3.6 states/eV/cell
spin magnetization: 0.251 μB/atom
energy above the most stable polymorph in this dataset: 0.0 meV/atom
space group: Pm-3m, No. 221


5.
A geometry-optimized GdBePd2 structure. Source: the Alexandria database, functional PBE.

Cell and atoms, written as POSCAR:
```
GdBePd2
1.0
4.119 0.000 0.000
2.059 3.567 0.000
2.059 1.189 4.904
Gd Pd Be
1 2 1
Direct
0.500 0.500 0.500
0.289 0.289 0.134
0.711 0.711 0.866
0.000 0.000 0.000
```

D(E_F): 1.9 states/eV/cell
spin magnetization: 1.776 μB/atom
energy relative to the elements: -0.631 eV per atom
space group: R-3m, No. 166


6.
A geometry-optimized AlCu2Au structure. Source: the Alexandria database, functional PBE.

Cell and atoms, written as POSCAR:
```
AlCu2Au
1.0
-0.403 -2.702 -1.060
1.827 0.812 -2.765
6.554 -0.919 -0.151
Cu Al Au
2 1 1
Direct
0.500 0.257 0.243
0.000 0.971 0.029
0.000 0.519 0.481
0.500 0.753 0.747
```

D(E_F): 1.2 states/eV/cell
spin magnetization: 0.000 μB/atom
energy relative to the elements: -0.184 eV per atom
space group: Pmm2, No. 25


7.
A geometry-optimized TbY2Ga4 structure. Source: the Alexandria database, functional PBE.

Cell and atoms, written as POSCAR:
```
TbY2Ga4
1.0
4.034 0.000 -0.920
-0.221 4.148 -0.969
0.067 0.053 9.598
Tb Ga Y
1 4 2
Direct
0.500 0.000 0.000
0.933 0.433 0.866
0.354 0.354 0.707
0.067 0.567 0.134
0.646 0.646 0.293
0.815 0.815 0.631
0.185 0.185 0.369
```

D(E_F): 4.9 states/eV/cell
spin magnetization: 0.000 μB/atom
energy relative to the elements: -0.660 eV per atom
space group: Immm, No. 71


8.
A geometry-optimized LaCoCl2 structure. Source: the Alexandria database, functional PBE.

Cell and atoms, written as POSCAR:
```
LaCoCl2
1.0
3.963 6.480 4.113
6.765 4.540 2.869
5.109 6.930 0.699
Co La Cl
1 1 2
Direct
0.000 0.000 0.000
0.500 0.500 0.500
0.915 0.915 0.915
0.085 0.085 0.085
```

D(E_F): 10.7 states/eV/cell
spin magnetization: 0.000 μB/atom
energy above the most stable polymorph in this dataset: 515.6 meV/atom
space group: R-3m, No. 166


9.
A geometry-optimized Nb4HgCl7 structure. Source: the Alexandria database, functional PBE.

Cell and atoms, written as POSCAR:
```
Nb4HgCl7
1.0
5.864 0.000 0.000
0.000 6.245 0.000
0.000 0.000 16.142
Cl Nb Hg
14 8 2
Direct
0.451 0.728 0.709
0.507 0.189 0.606
0.009 0.149 0.500
0.451 0.728 0.291
0.454 0.380 0.138
0.007 0.811 0.894
0.951 0.272 0.209
0.507 0.189 0.394
0.454 0.380 0.862
0.007 0.811 0.106
0.954 0.620 0.362
0.951 0.272 0.791
0.509 0.851 0.000
0.954 0.620 0.638
0.566 0.101 0.758
0.066 0.899 0.258
0.066 0.899 0.742
0.117 0.230 0.349
0.566 0.101 0.242
0.117 0.230 0.651
0.617 0.770 0.849
0.617 0.770 0.151
0.458 0.687 0.500
0.958 0.313 0.000
```

D(E_F): 10.2 states/eV/cell
spin magnetization: 0.216 μB/atom
space group: Pmn2_1, No. 31


10.
A geometry-optimized Li2BeAu5 structure. Source: the Alexandria database, functional PBE.

Cell and atoms, written as POSCAR:
```
Li2BeAu5
1.0
4.089 0.000 0.000
0.000 5.595 0.000
0.000 0.000 10.747
Li Au Be
4 10 2
Direct
0.500 0.666 0.642
0.500 0.834 0.142
0.500 0.166 0.858
0.500 0.334 0.358
0.500 0.178 0.598
0.000 0.081 0.270
0.000 0.419 0.770
0.000 0.500 0.500
0.000 0.581 0.230
0.500 0.822 0.402
0.000 0.919 0.730
0.000 0.000 0.000
0.500 0.678 0.902
0.500 0.322 0.098
0.000 0.000 0.500
0.000 0.500 0.000
```

D(E_F): 3.3 states/eV/cell
spin magnetization: 0.000 μB/atom
energy above the most stable polymorph in this dataset: 0.0 meV/atom
energy relative to the elements: -0.356 eV per atom
space group: Pbam, No. 55


11.
A geometry-optimized CaNpOsO6 structure. Source: the Alexandria database, functional PBE.

Cell and atoms, written as POSCAR:
```
CaNpOsO6
1.0
-0.774 0.615 -5.280
0.483 -4.926 2.088
-10.132 -0.384 1.440
Np O Os Ca
2 12 2 2
Direct
0.667 0.333 0.250
0.333 0.667 0.750
0.347 0.363 0.358
0.016 0.363 0.142
0.016 0.653 0.358
0.984 0.347 0.642
0.637 0.653 0.142
0.653 0.016 0.858
0.984 0.637 0.858
0.347 0.984 0.142
0.363 0.347 0.858
0.653 0.637 0.642
0.363 0.016 0.642
0.637 0.984 0.358
0.667 0.333 0.750
0.333 0.667 0.250
0.000 0.000 0.000
0.000 0.000 0.500
```

D(E_F): 11.2 states/eV/cell
spin magnetization: 0.339 μB/atom
space group: P-31c, No. 163


12.
A geometry-optimized TaMnCd structure. Source: the Alexandria database, functional PBE.

Cell and atoms, written as POSCAR:
```
TaMnCd
1.0
4.501 0.000 0.000
-2.251 3.898 0.000
0.000 0.000 2.776
Mn Cd Ta
1 1 1
Direct
0.667 0.333 0.359
0.000 0.000 0.033
0.333 0.667 0.608
```

D(E_F): 1.5 states/eV/cell
spin magnetization: 0.000 μB/atom
energy above the most stable polymorph in this dataset: 181.3 meV/atom
energy relative to the elements: 0.422 eV per atom
space group: P3m1, No. 156


13.
A geometry-optimized Rb2RhCl6 structure. Source: the Alexandria database, functional PBE.

Cell and atoms, written as POSCAR:
```
Rb2RhCl6
1.0
6.878 0.000 0.000
0.000 6.878 0.000
0.000 0.000 13.585
Rh Rb Cl
2 4 12
Direct
0.000 0.000 0.000
0.500 0.500 0.500
0.500 0.500 0.834
0.000 0.000 0.334
0.000 0.000 0.666
0.500 0.500 0.166
0.740 0.260 0.500
0.260 0.740 0.500
0.831 0.169 0.124
0.760 0.760 0.000
0.669 0.669 0.376
0.240 0.240 0.000
0.331 0.331 0.376
0.831 0.169 0.876
0.331 0.331 0.624
0.169 0.831 0.876
0.169 0.831 0.124
0.669 0.669 0.624
```

D(E_F): 17.8 states/eV/cell
spin magnetization: 0.120 μB/atom
space group: P4_2/mnm, No. 136


14.
A geometry-optimized MnFe2Cu structure. Source: the Alexandria database, functional PBE.

Cell and atoms, written as POSCAR:
```
MnFe2Cu
1.0
-1.283 -0.671 -4.100
0.606 -2.146 -3.733
-2.859 -3.437 0.907
Mn Cu Fe
1 1 2
Direct
0.750 0.750 0.750
0.250 0.250 0.250
0.999 0.999 0.998
0.501 0.501 0.502
```

D(E_F): 5.8 states/eV/cell
spin magnetization: 1.346 μB/atom
energy relative to the elements: 0.229 eV per atom
space group: C2/m, No. 12


15.
A geometry-optimized B5C7 structure. Source: the Alexandria database, functional PBE.

Cell and atoms, written as POSCAR:
```
B5C7
1.0
-4.904 3.490 3.938
-6.684 2.267 -0.835
5.470 -4.514 0.469
C B
7 5
Direct
0.533 0.843 0.691
0.504 0.162 0.342
0.996 0.998 0.998
0.605 0.619 0.986
0.129 0.464 0.665
0.628 0.960 0.668
0.500 0.500 0.999
0.139 0.119 0.020
0.166 0.789 0.377
0.013 0.346 0.667
0.964 0.667 0.298
0.573 0.284 0.289
```

D(E_F): 2.3 states/eV/cell
spin magnetization: 0.000 μB/atom
energy above the most stable polymorph in this dataset: 183.2 meV/atom
energy relative to the elements: 0.441 eV per atom
space group: Cm, No. 8


16.
A geometry-optimized Na2GaCu structure. Source: the Alexandria database, functional PBE.

Cell and atoms, written as POSCAR:
```
Na2GaCu
1.0
3.011 0.000 0.000
1.505 2.607 0.000
1.505 0.869 10.772
Ga Na Cu
1 2 1
Direct
0.500 0.500 0.500
0.084 0.084 0.747
0.916 0.916 0.253
0.000 0.000 0.000
```

D(E_F): 2.7 states/eV/cell
spin magnetization: 0.000 μB/atom
energy relative to the elements: 0.338 eV per atom
space group: R-3m, No. 166


17.
A geometry-optimized LaY7Ho2 structure. Source: the Alexandria database, functional PBE.

Cell and atoms, written as POSCAR:
```
LaY7Ho2
1.0
5.707 0.000 0.000
0.000 9.095 -0.400
0.000 -4.460 7.936
Y La Ho
7 1 2
Direct
0.500 0.704 0.941
0.500 0.296 0.059
0.500 0.941 0.704
0.500 0.059 0.296
0.500 0.500 0.500
0.000 0.774 0.226
0.000 0.226 0.774
0.000 0.000 0.000
0.500 0.703 0.297
0.500 0.297 0.703
```

D(E_F): 13.5 states/eV/cell
spin magnetization: 0.000 μB/atom
energy above the most stable polymorph in this dataset: 659.0 meV/atom
energy relative to the elements: 0.686 eV per atom
space group: Cmmm, No. 65


18.
A geometry-optimized Cr2RuRh structure. Source: the Alexandria database, functional PBE.

Cell and atoms, written as POSCAR:
```
Cr2RuRh
1.0
2.619 0.006 0.000
-1.062 2.394 0.000
0.000 0.000 8.369
Cr Rh Ru
2 1 1
Direct
0.500 0.500 0.234
0.000 0.000 0.014
0.000 0.000 0.485
0.500 0.500 0.767
```

D(E_F): 5.8 states/eV/cell
spin magnetization: 0.000 μB/atom
energy relative to the elements: 0.225 eV per atom
space group: Cmm2, No. 35


19.
A geometry-optimized Zr2ScFe2 structure. Source: the Alexandria database, functional PBE.

Cell and atoms, written as POSCAR:
```
Zr2ScFe2
1.0
-4.053 2.866 -5.254
-5.630 -3.977 2.174
-0.958 2.508 2.107
Sc Fe Zr
2 4 4
Direct
0.000 0.000 0.000
0.500 0.500 0.000
0.366 0.866 0.000
0.134 0.366 0.000
0.866 0.634 0.000
0.634 0.134 0.000
0.839 0.339 0.500
0.661 0.839 0.500
0.339 0.161 0.500
0.161 0.661 0.500
```

D(E_F): 11.3 states/eV/cell
spin magnetization: 0.271 μB/atom
energy relative to the elements: -0.056 eV per atom
space group: P4/mbm, No. 127


20.
A geometry-optimized Co4Re structure. Source: the Alexandria database, functional PBE.

Cell and atoms, written as POSCAR:
```
Co4Re
1.0
5.652 0.000 0.000
0.000 5.652 0.000
2.826 2.826 1.784
Co Re
4 1
Direct
0.400 0.803 0.000
0.600 0.197 0.000
0.197 0.400 0.000
0.803 0.600 0.000
0.000 0.000 0.000
```

D(E_F): 6.3 states/eV/cell
spin magnetization: 0.737 μB/atom
energy above the most stable polymorph in this dataset: 0.0 meV/atom
energy relative to the elements: 0.040 eV per atom
space group: I4/m, No. 87


21.
A geometry-optimized ZnP2Os structure. Source: the Alexandria database, functional PBE.

Cell and atoms, written as POSCAR:
```
ZnP2Os
1.0
-3.473 -1.552 -6.409
-5.430 -2.646 -4.365
-5.459 0.306 -5.065
P Zn Os
2 1 1
Direct
0.258 0.258 0.258
0.000 0.000 0.000
0.502 0.502 0.502
0.740 0.740 0.740
```

D(E_F): 2.0 states/eV/cell
spin magnetization: 0.000 μB/atom
energy relative to the elements: 0.212 eV per atom
space group: R3m, No. 160


22.
A geometry-optimized CsCoPd3 structure. Source: the Alexandria database, functional PBE.

Cell and atoms, written as POSCAR:
```
CsCoPd3
1.0
5.242 0.000 0.000
0.000 5.242 0.000
0.000 0.000 5.242
Pd Cs Co
3 1 1
Direct
0.500 0.000 0.000
0.000 0.500 0.000
0.000 0.000 0.500
0.000 0.000 0.000
0.500 0.500 0.500
```

D(E_F): 2.4 states/eV/cell
spin magnetization: 0.442 μB/atom
energy above the most stable polymorph in this dataset: 1363.3 meV/atom
energy relative to the elements: 1.898 eV per atom
space group: Pm-3m, No. 221


23.
A geometry-optimized Ac2Nd5YTm structure. Source: the Alexandria database, functional PBE.

Cell and atoms, written as POSCAR:
```
Ac2Nd5YTm
1.0
-2.606 4.152 2.763
-8.570 -7.583 -2.420
1.781 -4.899 9.042
Nd Ac Y Tm
10 4 2 2
Direct
0.622 0.244 0.508
0.378 0.756 0.008
0.722 0.444 0.197
0.722 0.444 0.819
0.278 0.556 0.697
0.002 0.005 0.008
0.500 0.000 0.258
0.500 0.000 0.758
0.998 0.995 0.508
0.278 0.556 0.319
0.884 0.767 0.770
0.116 0.233 0.746
0.116 0.233 0.270
0.884 0.767 0.246
0.603 0.206 0.008
0.397 0.794 0.508
0.782 0.563 0.508
0.218 0.437 0.008
```

D(E_F): 26.7 states/eV/cell
spin magnetization: 0.000 μB/atom
energy relative to the elements: 0.115 eV per atom
space group: Cmcm, No. 63


no.,E (eV/cell)
1,-77.9
2,-59.1
3,-169.7
4,-47.5
5,-30.7
6,-15.9
7,-34.3
8,-18.1
9,-120.8
10,-53.6
11,-152.0
12,-20.7
13,-60.7
14,-29.3
15,-92.7
16,-8.4
17,-52.5
18,-35.0
19,-81.3
20,-40.7
21,-22.5
22,-14.0
23,-83.9